Entry from OQMD via LeMat-Bulk: a relaxed structure of TbDy2Al3Ni3 (PBE).

```
TbDy2Al3Ni3
1.0
3.8191 0.0000 0.0000
0.0000 6.0915 3.5205
0.0000 -6.0915 3.5205
Al Dy Ni Tb
3 2 3 1
direct
0.5000 0.7638 0.0007
0.5000 0.2359 0.2359
0.5000 0.0007 0.7638
0.0000 0.4173 0.0000
0.0000 0.0000 0.4173
0.0000 0.0006 0.0006
0.5000 0.6670 0.3326
0.5000 0.3326 0.6670
0.0000 0.5823 0.5823
```

Results
The total energy is -5.2473 eV per atom. For the total magnetization, the calculation gives 0.0 μB per formula unit.